A plane-wave DFT calculation with PBE-GGA was carried out for crystalline BaY2Mg at its relaxed geometry.

Cell: 6.154 6.154 6.154 Å, 128.27 128.27 76.18°
Element x y z (fractional)
1 Y 0.000 0.000 0.000
2 Y 0.250 0.750 0.500
3 Ba 0.500 0.500 0.000
4 Mg 0.750 0.250 0.500

Energy of formation from the pure elements: 0.21 eV per atom
E: -3.90 eV/atom
SG: I-4m2 (119)